Material: CdNiPt2
Method: DFT, GGA-PBE
State: optimized geometry

extended XYZ file:
```
4
Lattice="-4.513 -0.460 -1.552 2.625 -3.365 -2.185 -0.546 -1.805 2.124" Properties=species:S:1:pos:R:3 pbc="T T T"
Pt 0.000 0.000 0.000
Pt -0.944 -1.913 -1.868
Cd -2.529 -1.133 0.286
Ni 1.040 -2.585 -0.031
```

Computed properties:
Space-group type: Cmmm
Crystal system: orthorhombic
E_tot (eV for the cell shown): -19.2
Formation enthalpy at 0 K (eV/atom): -0.1066